# 1
# CeHgO

A relaxed structure of CeHgO (PBE, Alexandria).

Cell and atoms, written as POSCAR:
```
CeHgO
1.0
-3.166 -2.129 -0.011
0.897 -1.317 -3.466
5.445 -4.705 5.297
Hg O Ce
2 2 2
direct
0.299 0.299 0.598
0.701 0.701 0.402
0.500 0.000 0.000
0.000 0.500 0.000
0.916 0.916 0.833
0.084 0.084 0.167
```

Output
* excess energy over the best structure of this formula in the dataset: 1.204 eV/f.u.
* size of the total moment: 1.08 Bohr magnetons per cell
* space group: I4/mmm (139)
* DOS at the Fermi energy: 9.6 states/eV per cell


# 2
# CeHgO

A relaxed structure of CeHgO (PBE, Alexandria).

Cell and atoms, written as POSCAR:
```
CeHgO
1.0
4.009 0.000 0.000
0.000 4.009 0.001
0.001 -0.001 7.851
Hg O Ce
2 2 2
direct
0.250 0.750 0.899
0.750 0.250 0.101
0.750 0.750 0.500
0.250 0.250 0.500
0.250 0.750 0.349
0.750 0.250 0.651
```

Output
* excess energy over the best structure of this formula in the dataset: 0.000 eV/f.u.
* size of the total moment: 1.15 Bohr magnetons per cell
* space group: P4/nmm (129)
* DOS at the Fermi energy: 9.7 states/eV per cell


# 3
# CeHgO

A relaxed structure of CeHgO (PBE, Alexandria).

Cell and atoms, written as POSCAR:
```
CeHgO
1.0
3.886 0.000 0.000
-1.943 3.366 0.000
0.000 0.000 5.372
Hg O Ce
1 1 1
direct
0.000 0.000 0.000
0.333 0.667 0.500
0.667 0.333 0.500
```

Output
* excess energy over the best structure of this formula in the dataset: 0.740 eV/f.u.
* size of the total moment: 1.20 Bohr magnetons per cell
* space group: P-6m2 (187)
* DOS at the Fermi energy: 4.3 states/eV per cell


# 4
# Ce2HgO2

A relaxed structure of Ce2HgO2 (PBE, Alexandria).

Cell and atoms, written as POSCAR:
```
Ce2HgO2
1.0
3.784 0.000 -1.414
-0.528 3.747 -1.414
0.451 0.519 6.976
Ce O Hg
2 2 1
direct
0.341 0.341 0.682
0.659 0.659 0.318
0.750 0.250 0.500
0.250 0.750 0.500
0.000 0.000 0.000
```

Output
* electronic total energy: -34.027 eV/cell
* size of the total moment: 1.75 Bohr magnetons per cell
* space group: I4/mmm (139)
* DOS at the Fermi energy: 11.1 states/eV per cell


# 5
# CeHgP2O6

A relaxed structure of CeHgP2O6 (PBE, Alexandria).

Cell and atoms, written as POSCAR:
```
CeHgP2O6
1.0
-5.570 3.625 1.268
0.500 -1.424 6.595
6.193 5.073 -2.248
O P Hg Ce
12 4 2 2
direct
0.108 0.488 0.730
0.492 0.713 0.055
0.171 0.392 0.112
0.488 0.108 0.230
0.892 0.512 0.270
0.829 0.608 0.888
0.287 0.508 0.445
0.392 0.171 0.612
0.512 0.892 0.770
0.508 0.287 0.945
0.713 0.492 0.555
0.608 0.829 0.388
0.090 0.397 0.267
0.603 0.910 0.233
0.910 0.603 0.733
0.397 0.090 0.767
0.056 0.944 0.750
0.944 0.056 0.250
0.537 0.463 0.250
0.463 0.537 0.750
```

Output
* electronic total energy: -136.503 eV/cell
* size of the total moment: 0.21 Bohr magnetons per cell
* space group: C2/c (15)
* DOS at the Fermi energy: 2.7 states/eV per cell


# 6
# CePm2HgO

A relaxed structure of CePm2HgO (PBE, Alexandria).

Cell and atoms, written as POSCAR:
```
CePm2HgO
1.0
4.861 0.000 0.000
0.000 4.944 0.000
0.000 0.000 4.944
Pm Hg O Ce
2 1 1 1
direct
0.000 0.000 0.500
0.000 0.500 0.000
0.500 0.500 0.500
0.000 0.000 0.000
0.500 0.000 0.000
```

Output
* electronic total energy: -27.157 eV/cell
* size of the total moment: 0.88 Bohr magnetons per cell
* space group: P4/mmm (123)
* DOS at the Fermi energy: 7.7 states/eV per cell


# 7
# CePrHgO2

A relaxed structure of CePrHgO2 (PBE, Alexandria).

Cell and atoms, written as POSCAR:
```
CePrHgO2
1.0
-3.294 -2.191 1.030
2.310 -3.365 0.230
1.629 3.982 5.569
Pr O Hg Ce
1 2 1 1
direct
0.843 0.843 0.686
0.247 0.747 0.493
0.747 0.247 0.493
0.501 0.501 0.003
0.162 0.162 0.325
```

Output
* electronic total energy: -32.840 eV/cell
* size of the total moment: 1.15 Bohr magnetons per cell
* space group: I4mm (107)
* DOS at the Fermi energy: 5.4 states/eV per cell


# 8
# Ce6PuHg2O

A relaxed structure of Ce6PuHg2O (PBE, Alexandria).

Cell and atoms, written as POSCAR:
```
Ce6PuHg2O
1.0
-3.329 -0.891 6.101
3.287 -6.123 0.899
3.669 -1.179 5.851
Ce Hg Pu O
6 2 1 1
direct
0.747 0.747 0.000
0.746 0.253 0.000
0.254 0.254 0.493
0.746 0.746 0.507
0.254 0.747 0.000
0.253 0.253 0.000
0.250 0.750 0.500
0.750 0.250 0.500
0.500 0.500 0.000
0.000 0.000 0.000
```

Output
* electronic total energy: -63.777 eV/cell
* size of the total moment: 0.01 Bohr magnetons per cell
* space group: Fm-3m (225)
* DOS at the Fermi energy: 17.0 states/eV per cell